No. 1
A relaxed structure of Ca2TlZnF8, computed with PBE-GGA.

Cell and atoms, written as extended XYZ:
```
12
Lattice="4.028 -0.214 -0.002 -0.200 5.421 -0.006 0.004 0.008 7.716" Properties=species:S:1:pos:R:3 pbc="T T T"
F 1.838 3.908 3.853
F 0.010 4.077 5.987
Zn 0.000 0.000 0.000
F 3.823 1.144 5.988
F 1.701 1.194 7.714
F 3.821 1.139 1.721
F 0.008 4.072 1.720
Tl 0.002 0.004 3.858
F 1.994 1.307 3.855
F 2.130 4.022 -0.005
Ca 1.917 2.610 5.894
Ca 1.915 2.606 1.814
```

Properties
Energy relative to the elements, uncorrected = -2.916 eV per atom
Crystal system = monoclinic


No. 2
A relaxed structure of CaAgW2, computed with PBE-GGA.

Cell and atoms, written as extended XYZ:
```
8
Lattice="-2.747 1.657 3.384 -1.877 -4.233 0.549 4.617 -3.492 8.670" Properties=species:S:1:pos:R:3 pbc="T T T"
Ag 0.000 0.000 0.000
W 0.871 -1.593 9.519
Ca 0.214 -4.507 5.593
Ca -2.312 -1.288 1.966
W -2.491 -2.028 5.556
W 2.151 -2.632 7.854
W -1.416 0.006 5.113
Ag -0.221 -1.561 7.010
```

Properties
Crystal system = tetragonal
VASP energy = -6.232 eV/atom


No. 3
A relaxed structure of Ga2Te5Pd4, computed with PBE-GGA.

Cell and atoms, written as extended XYZ:
```
11
Lattice="3.952 0.000 0.000 0.000 6.468 0.125 -1.976 -1.675 10.850" Properties=species:S:1:pos:R:3 pbc="T T T"
Te 1.976 0.000 0.000
Te 0.000 4.767 3.135
Ga 1.976 2.743 1.331
Pd 0.000 1.725 7.148
Pd 1.976 3.068 3.827
Te 1.976 3.451 6.586
Te 0.000 1.342 4.389
Te 1.976 0.026 7.839
Ga 0.000 2.050 9.643
Pd 1.976 0.248 10.542
Pd 0.000 4.545 0.433
```

Properties
Energy relative to the elements, uncorrected = -0.292 eV per atom
Crystal system = monoclinic